No. 1
The following is a GGA-PBE calculation of an optimized crystal structure of MoOsN3, from the Alexandria database.

Cell lengths 3.822, 3.822, 3.822 Å; angles 90.00, 90.00, 90.00 degrees
Fractional positions:
1 Mo 0.500 0.500 0.500
2 Os 0.000 0.000 0.000
3 N 0.000 0.500 0.000
4 N 0.000 0.000 0.500
5 N 0.500 0.000 0.000

Summary:
* ΔE_f (raw): 1333 meV per atom

No. 2
The following is a GGA-PBE calculation of an optimized crystal structure of MoOsN2, from the Alexandria database.

Cell lengths 3.843, 3.843, 3.843 Å; angles 60.00, 60.00, 60.00 degrees
Fractional positions:
1 Mo 0.000 0.000 0.000
2 Os 0.500 0.500 0.500
3 N 0.250 0.250 0.250
4 N 0.750 0.750 0.750

Summary:
* energy above the lowest structure with this stoichiometry: 808.3 meV/atom
* ΔE_f (raw): 1000 meV per atom

No. 3
The following is a GGA-PBE calculation of an optimized crystal structure of MoOsN, from the Alexandria database.

Cell lengths 2.898, 2.898, 9.138 Å; angles 99.13, 99.13, 90.00 degrees
Fractional positions:
1 N 0.298 0.298 0.597
2 N 0.702 0.702 0.403
3 Mo 0.172 0.172 0.343
4 Mo 0.828 0.828 0.657
5 Os 0.568 0.568 0.135
6 Os 0.432 0.432 0.865

Summary:
* ΔE_f (raw): 177 meV per atom

No. 4
The following is a GGA-PBE calculation of an optimized crystal structure of Mo2OsN, from the Alexandria database.

Cell lengths 2.801, 2.801, 8.029 Å; angles 79.95, 79.95, 60.00 degrees
Fractional positions:
1 Mo 0.105 0.105 0.684
2 Mo 0.895 0.895 0.316
3 Os 0.000 0.000 0.000
4 N 0.500 0.500 0.500

Summary:
* energy above the lowest structure with this stoichiometry: 523.8 meV/atom
* ΔE_f (raw): 384 meV per atom

No. 5
The following is a GGA-PBE calculation of an optimized crystal structure of MoOsN2, from the Alexandria database.

Cell lengths 6.858, 6.858, 6.858 Å; angles 23.52, 23.52, 23.52 degrees
Fractional positions:
1 Mo 0.500 0.500 0.500
2 Os 0.000 0.000 0.000
3 N 0.902 0.902 0.902
4 N 0.098 0.098 0.098

Summary:
* energy above the lowest structure with this stoichiometry: 0.0 meV/atom
* ΔE_f (raw): 192 meV per atom

No. 6
The following is a GGA-PBE calculation of an optimized crystal structure of MoPOsN, from the Alexandria database.

Cell lengths 3.427, 3.427, 5.813 Å; angles 90.00, 90.00, 120.00 degrees
Fractional positions:
1 Mo 0.000 0.000 0.366
2 P 0.000 0.000 0.807
3 Os 0.333 0.667 0.027
4 N 0.333 0.667 0.378

Summary:
* energy above the lowest structure with this stoichiometry: 0.0 meV/atom
* ΔE_f (raw): -150 meV per atom

No. 7
The following is a GGA-PBE calculation of an optimized crystal structure of MoPOsN, from the Alexandria database.

Cell lengths 2.954, 2.954, 5.922 Å; angles 90.00, 90.00, 90.00 degrees
Fractional positions:
1 Mo 0.000 0.000 0.382
2 P 0.000 0.000 0.804
3 Os 0.500 0.500 0.017
4 N 0.500 0.500 0.376

Summary:
* energy above the lowest structure with this stoichiometry: 41.7 meV/atom
* ΔE_f (raw): -108 meV per atom

No. 8
The following is a GGA-PBE calculation of an optimized crystal structure of MoPOsN, from the Alexandria database.

Cell lengths 2.921, 2.969, 5.999 Å; angles 89.95, 75.97, 90.00 degrees
Fractional positions:
1 Mo 0.801 0.515 0.548
2 P 0.474 0.514 0.204
3 Os 0.070 0.014 0.010
4 N 0.245 0.015 0.659

Summary:
* energy above the lowest structure with this stoichiometry: 103.0 meV/atom
* ΔE_f (raw): -47 meV per atom

No. 9
The following is a GGA-PBE calculation of an optimized crystal structure of MoPOsN, from the Alexandria database.

Cell lengths 2.906, 2.906, 7.324 Å; angles 90.00, 90.00, 120.00 degrees
Fractional positions:
1 Mo 0.333 0.667 0.463
2 P 0.333 0.667 0.797
3 Os 0.000 0.000 0.019
4 N 0.000 0.000 0.299

Summary:
* energy above the lowest structure with this stoichiometry: 109.1 meV/atom
* ΔE_f (raw): -41 meV per atom

No. 10
The following is a GGA-PBE calculation of an optimized crystal structure of MoPOsN, from the Alexandria database.

Cell lengths 3.038, 2.913, 11.422 Å; angles 90.00, 90.00, 90.00 degrees
Fractional positions:
1 Mo 0.000 0.000 0.110
2 Mo 0.000 0.500 0.610
3 P 0.500 0.000 0.410
4 P 0.500 0.500 0.910
5 Os 0.000 0.000 0.822
6 Os 0.000 0.500 0.322
7 N 0.500 0.000 0.559
8 N 0.500 0.500 0.059

Summary:
* energy above the lowest structure with this stoichiometry: 113.0 meV/atom
* ΔE_f (raw): -37 meV per atom

No. 11
The following is a GGA-PBE calculation of an optimized crystal structure of MoPOsN, from the Alexandria database.

Cell lengths 2.866, 2.977, 12.543 Å; angles 90.00, 90.00, 90.00 degrees
Fractional positions:
1 Mo 0.500 0.000 0.809
2 Mo 0.500 0.500 0.309
3 P 0.500 0.000 0.599
4 P 0.500 0.500 0.099
5 Os 0.000 0.000 0.004
6 Os 0.000 0.500 0.504
7 N 0.000 0.000 0.298
8 N 0.000 0.500 0.798

Summary:
* energy above the lowest structure with this stoichiometry: 106.9 meV/atom
* ΔE_f (raw): -43 meV per atom

No. 12
The following is a GGA-PBE calculation of an optimized crystal structure of MoPOsN, from the Alexandria database.

Cell lengths 2.801, 2.884, 12.644 Å; angles 90.00, 90.00, 90.00 degrees
Fractional positions:
1 Mo 0.500 0.000 0.854
2 Mo 0.500 0.500 0.354
3 P 0.000 0.000 0.138
4 P 0.000 0.500 0.638
5 Os 0.000 0.000 0.496
6 Os 0.000 0.500 0.996
7 N 0.500 0.000 0.222
8 N 0.500 0.500 0.722

Summary:
* energy above the lowest structure with this stoichiometry: 63.6 meV/atom
* ΔE_f (raw): -86 meV per atom

> Look up the ΔE_f (raw) of the twelfth one.

-86 meV per atom

> The highest ΔE_f (raw) belongs to which entry?

MoOsN3

> ΔE_f (raw) of number 11 (MoPOsN)?

-43 meV per atom

> The lowest ΔE_f (raw) belongs to which entry?

number 6